Compound: AcTl2CrO8
Source: the Alexandria database
Functional: PBE with a Hubbard U
Structure: relaxed

Lattice parameters (Å, degrees): 5.5784 5.5784 6.4555 90.00 90.00 120.00
Each line ends with the local moment (μB).
Atoms (fractional coordinates):
1 Ac 0.0000 0.0000 0.5000  -0.01
2 O 0.3333 0.6667 0.6086  0.42
3 O 0.3101 0.1551 0.8315  0.12
4 O 0.6899 0.8449 0.1685  0.12
5 O 0.1551 0.8449 0.1685  0.12
6 Cr 0.0000 0.0000 0.0000  -0.82
7 Tl 0.6667 0.3333 0.0731  -0.02
8 O 0.1551 0.3101 0.1685  0.12
9 O 0.8449 0.6899 0.8315  0.12
10 O 0.8449 0.1551 0.8315  0.12
11 Tl 0.3333 0.6667 0.9269  -0.02
12 O 0.6667 0.3333 0.3914  0.42

Output
* D(E_F): 8.582 states/eV/f.u.
* final energy: -5.639 eV per atom
* M_tot: 1.0 μB per formula unit